Li2WS4 | PBEsol | relaxed

abc: 6.010 7.574 12.743
angles: 90.00 90.00 90.00
Atoms (fractional coordinates):
S 0.253 0.485 0.330
S 0.753 0.515 0.170
S 0.247 0.015 0.830
S 0.747 0.985 0.670
S 0.747 0.515 0.670
S 0.253 0.015 0.330
S 0.247 0.485 0.830
S 0.749 0.750 0.428
S 0.753 0.985 0.170
S 0.249 0.250 0.072
S 0.760 0.250 0.409
S 0.740 0.250 0.909
S 0.751 0.750 0.928
S 0.260 0.750 0.091
S 0.251 0.250 0.572
S 0.240 0.750 0.591
Li 0.000 0.000 0.000
Li 0.999 0.750 0.264
Li 0.501 0.750 0.764
Li 0.499 0.250 0.236
Li 0.000 0.500 0.000
Li 0.001 0.250 0.736
Li 0.500 0.500 0.500
Li 0.500 0.000 0.500
W 0.878 0.750 0.590
W 0.622 0.750 0.090
W 0.122 0.250 0.410
W 0.378 0.250 0.910

Computed properties:
As for the space group: Pnma, No. 62. The value obtained for the uncorrected formation energy is -0.82 eV per atom. For the energy above the most stable polymorph in this dataset, the calculation gives 0.0 meV per atom.